Compound: Sn5SbPd3
Source: the Alexandria database
Functional: PBE
Structure: optimized geometry

Summary:
Total moment = 0.000 μB per formula unit
Density = 7.46 g/cm3
Formation energy (no corrections) = -0.214 eV/atom
DOS(E_F) = 0.43 states/eV per atom

Unit cell a=7.3684 b=7.3684 c=10.0061 alpha=67.48 beta=67.48 gamma=76.13
Sites, in units of the cell vectors:
Sn 0.9031 0.3369 0.2927
Sn 0.2965 0.7035 0.0000
Sn 0.7529 0.7529 0.0523
Sn 0.4065 0.4065 0.3513
Sn 0.5935 0.5935 0.6487
Sn 0.2471 0.2471 0.9477
Sn 0.3369 0.9031 0.2927
Sn 0.7035 0.2965 0.0000
Sn 0.0969 0.6631 0.7073
Sn 0.6631 0.0969 0.7073
Sb 0.1103 0.1103 0.6904
Sb 0.8897 0.8897 0.3096
Pd 0.6927 0.6927 0.8315
Pd 0.6368 0.6368 0.3656
Pd 0.0000 0.0000 0.0000
Pd 0.0000 0.0000 0.5000
Pd 0.3073 0.3073 0.1685
Pd 0.3632 0.3632 0.6344